PBE-GGA ErHf4, relaxed; V = 131 Å³/f.u.; final energy = -36.903 eV per formula unit; total magnetization = 0.0 μB per cell; E_form = 1.495 eV per atom
1.0
5.077 0.000 0.000
0.000 5.077 0.000
0.000 0.000 5.077
Er Hf
1 4
Direct
0.000 0.000 0.000 Er
0.000 0.000 0.500 Hf
0.000 0.500 0.000 Hf
0.500 0.000 0.000 Hf
0.500 0.500 0.500 Hf